(1)
The following is a DFT calculation (GGA-PBE) of an optimized crystal structure of NiAgSe2.

Cell: 3.609 3.613 6.920 Å, 90.34 104.77 119.95°
Element x y z (fractional)
Ni 0.000 0.000 0.000
Ag 0.327 0.160 0.492
Se 0.202 0.600 0.799
Se 0.790 0.396 0.188

## Properties
VASP energy: -4.0203 eV/atom
Space group: No. 1
Mass density: 7.22 g/cm3
DOS(E_F): 2.39 states/eV/cell
Energy relative to the elements, uncorrected: -120 meV/atom
Total magnetization: 0.0 μB per formula unit

(2)
The following is a DFT calculation (GGA-PBE) of an optimized crystal structure of Ce2HfSc.

Cell: 4.582 4.582 4.848 Å, 90.00 90.00 90.00°
Element x y z (fractional)
Ce 0.000 0.500 0.000
Ce 0.500 0.000 0.000
Hf 0.000 0.000 0.500
Sc 0.500 0.500 0.500

## Properties
VASP energy: -6.9048 eV/atom
Space group: No. 123
Mass density: 8.22 g/cm3
DOS(E_F): 9.61 states/eV/cell
Total magnetization: 0.0 μB per formula unit

(3)
The following is a DFT calculation (GGA-PBE) of an optimized crystal structure of TaAl2Tc.

Cell: 9.026 9.026 9.026 Å, 18.41 18.41 18.41°
Element x y z (fractional)
Ta 0.000 0.000 0.000
Al 0.245 0.245 0.245
Al 0.755 0.755 0.755
Tc 0.500 0.500 0.500

## Properties
VASP energy: -7.5192 eV/atom
Space group: No. 166
Mass density: 8.63 g/cm3
DOS(E_F): 5.57 states/eV/cell
Total magnetization: 0.0 μB per formula unit

(4)
The following is a DFT calculation (GGA-PBE) of an optimized crystal structure of Be2SiNi.

Cell: 4.075 4.075 2.553 Å, 90.00 90.00 110.50°
Element x y z (fractional)
Be 0.000 0.500 0.000
Be 0.500 0.000 0.000
Si 0.000 0.000 0.500
Ni 0.500 0.500 0.500

## Properties
VASP energy: -4.7906 eV/atom
Space group: No. 65
Mass density: 4.38 g/cm3
DOS(E_F): 1.37 states/eV/cell
Energy relative to the elements, uncorrected: -126 meV/atom
Total magnetization: 0.0 μB per formula unit